! PBE Pa4Ni12Rh, relaxed; values from VASP
&SYSTEM
  ibrav = 0, nat = 17, ntyp = 3
/
ATOMIC_SPECIES
Pa 231.04 Pa.upf
Ni 58.69 Ni.upf
Rh 102.91 Rh.upf
ATOMIC_POSITIONS crystal
Pa 0.000 0.000 0.500
Pa 0.500 0.000 0.000
Pa 0.500 0.500 0.500
Pa 0.000 0.500 0.000
Ni 0.000 0.322 0.322
Ni 0.000 0.678 0.678
Ni 0.678 0.678 0.000
Ni 0.322 0.322 0.000
Ni 0.322 0.000 0.322
Ni 0.678 0.000 0.678
Ni 0.500 0.250 0.750
Ni 0.500 0.750 0.250
Ni 0.750 0.250 0.500
Ni 0.250 0.750 0.500
Ni 0.750 0.500 0.250
Ni 0.250 0.500 0.750
Rh 0.000 0.000 0.000
CELL_PARAMETERS angstrom
6.487 0.000 -2.294
-3.244 5.618 -2.294
0.000 0.000 6.881
! Size of the total moment: 0.0 μB/cell
! E_form: -345 meV per atom
! DFT total energy: -7.093 eV/atom